Compound: Ba2NpCu2S6
Source: Alexandria via LeMat-Bulk
Functional: PBE
Structure: optimized geometry

Output
total DFT energy (no corrections) = -62.4 eV/f.u.

Lattice parameters (Å, degrees): 7.2533 7.2533 7.4147 60.72 60.72 60.00
Sites, in units of the cell vectors:
Cu  0.5739  0.5739  0.2783
Cu  0.4261  0.4261  0.7217
Ba  0.2303  0.2303  0.3090
Ba  0.7697  0.7697  0.6910
S  0.7555  0.2337  0.2553
S  0.2337  0.7555  0.2553
S  0.7663  0.2445  0.7447
S  0.2445  0.7663  0.7447
S  0.2445  0.2445  0.7447
S  0.7555  0.7555  0.2553
Np  0.0000  0.0000  0.0000

Compound: BaNpCu2S4
Source: Alexandria via LeMat-Bulk
Functional: PBE
Structure: optimized geometry

Output
total DFT energy (no corrections) = -47.1 eV/f.u.

Lattice parameters (Å, degrees): 6.4582 6.3960 6.3960 70.12 59.68 59.68
Sites, in units of the cell vectors:
Ba  0.0000  0.0000  0.0000
S  0.5497  0.5025  0.8814
S  0.0663  0.8814  0.5025
S  0.4503  0.1186  0.4975
S  0.9337  0.4975  0.1186
Cu  0.1585  0.3415  0.3415
Cu  0.8415  0.6585  0.6585
Np  0.5000  0.5000  0.5000

Compound: BaNp2CuS5
Source: Alexandria via LeMat-Bulk
Functional: PBE
Structure: optimized geometry

Output
total DFT energy (no corrections) = -64.3 eV/f.u.

Lattice parameters (Å, degrees): 4.2855 6.8089 8.1190 114.79 105.30 90.00
Sites, in units of the cell vectors:
Cu  0.5000  0.0000  0.0000
S  0.3490  0.5909  0.6979
S  0.6510  0.8930  0.3021
S  0.6510  0.4091  0.3021
S  0.3490  0.1070  0.6979
S  0.0000  0.0000  0.0000
Np  0.1929  0.1929  0.3857
Np  0.8071  0.8071  0.6143
Ba  0.0000  0.5000  0.0000

Compound: BaNpCuS4
Source: Alexandria via LeMat-Bulk
Functional: PBE
Structure: optimized geometry

Output
total DFT energy (no corrections) = -44.0 eV/f.u.

Lattice parameters (Å, degrees): 6.7316 5.6779 8.6879 90.00 107.24 90.00
Sites, in units of the cell vectors:
Ba  0.2598  0.2500  0.0613
Ba  0.7402  0.7500  0.9387
S  0.4430  0.7500  0.1522
S  0.9809  0.0166  0.2855
S  0.4268  0.7500  0.5839
S  0.5570  0.2500  0.8478
S  0.5732  0.2500  0.4161
S  0.9809  0.4834  0.2855
S  0.0191  0.5166  0.7145
S  0.0191  0.9834  0.7145
Np  0.2619  0.2500  0.5582
Np  0.7381  0.7500  0.4418
Cu  0.2409  0.7500  0.3204
Cu  0.7591  0.2500  0.6796